Entry 1:
An optimized crystal structure of CsZnAsC2, computed with PBE-GGA.

Results
- crystal system = tetragonal
- space group = No. 123
- ρ (g/cm³) = 3.55
- ΔH_f (0 K) (eV/f.u.) = 16.32

Lattice parameters (Å, degrees): 4.7251 6.2192 4.7251 90.00 90.00 90.00
Closest atoms and distances in Å follow each position.
Element x y z (fractional)
1 As 0.5000 0.5000 0.5000  4 Zn 3.34
2 Cs 0.0000 0.0000 0.0000  4 C 2.36
3 Zn 0.0000 0.5000 0.0000  2 Cs 3.11, 4 As 3.34
4 C 0.0000 0.0000 0.5000  2 Cs 2.36
5 C 0.5000 0.0000 0.0000  2 Cs 2.36

***

Entry 2:
An optimized crystal structure of InIr3Cl, computed with PBE-GGA.

Results
- crystal system = cubic
- formation energy (no corrections) (kJ/mol of formula units) = 1097.6
- space group = No. 221
- ρ (g/cm³) = 9.65
- E above lowest polymorph (meV/atom) = 917

Lattice parameters (Å, degrees): 5.0014 5.0014 5.0014 90.00 90.00 90.00
Closest atoms and distances in Å follow each position.
Element x y z (fractional)
1 Cl 0.5000 0.5000 0.5000  12 Ir 3.54
2 Ir 0.0000 0.0000 0.5000  2 In 2.50
3 Ir 0.5000 0.0000 0.0000  2 In 2.50
4 In 0.0000 0.0000 0.0000  6 Ir 2.50
5 Ir 0.0000 0.5000 0.0000  2 In 2.50

***

Entry 3:
An optimized crystal structure of BaHgPt, computed with PBE-GGA.

Results
- crystal system = cubic
- space group = No. 216
- ρ (g/cm³) = 9.30
- ΔH_f (0 K) (eV/f.u.) = -1.61

Lattice parameters (Å, degrees): 5.1244 5.1244 5.1244 60.00 60.00 60.00
Closest atoms and distances in Å follow each position.
Element x y z (fractional)
1 Ba 0.0000 0.0000 0.0000  4 Pt 3.14
2 Pt 0.7500 0.7500 0.7500  4 Hg 3.14, 4 Ba 3.14
3 Hg 0.5000 0.5000 0.5000  4 Pt 3.14

***

Entry 4:
An optimized crystal structure of Ca5MgPd6, computed with PBE-GGA.

Results
- crystal system = monoclinic
- space group = No. 12
- ρ (g/cm³) = 5.69
- ΔH_f (0 K) (eV/f.u.) = -7.86

Lattice parameters (Å, degrees): 4.9332 8.5214 8.5214 120.12 106.87 106.87
Closest atoms and distances in Å follow each position.
Element x y z (fractional)
1 Ca 0.0000 0.6650 0.3350  8 Pd 3.07-3.09
2 Pd 0.7268 0.2266 0.2266  2 Mg 2.92, 6 Ca 2.95-3.11, 1 Pd 3.14
3 Mg 0.0000 0.0000 0.0000  8 Pd 2.84-2.92
4 Pd 0.7650 0.9227 0.6072  1 Mg 2.84, 7 Ca 2.96-3.15
5 Ca 0.5000 0.8309 0.1691  8 Pd 2.95-3.15
6 Pd 0.2350 0.3928 0.0773  1 Mg 2.84, 7 Ca 2.96-3.15
7 Pd 0.2350 0.0773 0.3928  1 Mg 2.84, 7 Ca 2.96-3.15
8 Ca 0.5000 0.1691 0.8309  8 Pd 2.95-3.15
9 Ca 0.5000 0.5000 0.5000  8 Pd 2.96-3.11
10 Pd 0.7650 0.6072 0.9227  1 Mg 2.84, 7 Ca 2.96-3.15
11 Pd 0.2732 0.7734 0.7734  2 Mg 2.92, 6 Ca 2.95-3.11, 1 Pd 3.14
12 Ca 0.0000 0.3350 0.6650  8 Pd 3.07-3.09

***

Copy entry 1 word for word.
An optimized crystal structure of CsZnAsC2, computed with PBE-GGA.

Results
- crystal system = tetragonal
- space group = No. 123
- ρ (g/cm³) = 3.55
- ΔH_f (0 K) (eV/f.u.) = 16.32

Lattice parameters (Å, degrees): 4.7251 6.2192 4.7251 90.00 90.00 90.00
Closest atoms and distances in Å follow each position.
Element x y z (fractional)
1 As 0.5000 0.5000 0.5000  4 Zn 3.34
2 Cs 0.0000 0.0000 0.0000  4 C 2.36
3 Zn 0.0000 0.5000 0.0000  2 Cs 3.11, 4 As 3.34
4 C 0.0000 0.0000 0.5000  2 Cs 2.36
5 C 0.5000 0.0000 0.0000  2 Cs 2.36